Na3TlPCO7 PBE-GGA relaxed; offset from the most stable computed form = 6 meV/atom; formation energy (no corrections) = -22.87 eV/f.u.; symmetry = P2_1/m, No. 11; crystal system = monoclinic
1.0
5.331 0.000 0.000
0.000 7.125 0.000
-0.083 0.000 9.469
Na Tl P C O
6 2 2 2 14
Direct
0.242 0.002 0.248 Na
0.242 0.498 0.248 Na
0.243 0.250 0.919 Na
0.757 0.750 0.081 Na
0.758 0.502 0.752 Na
0.758 0.998 0.752 Na
0.239 0.750 0.619 Tl
0.761 0.250 0.381 Tl
0.286 0.250 0.601 P
0.714 0.750 0.399 P
0.261 0.750 0.942 C
0.739 0.250 0.058 C
0.038 0.750 0.885 O
0.173 0.078 0.681 O
0.173 0.422 0.681 O
0.223 0.250 0.440 O
0.288 0.750 0.078 O
0.423 0.750 0.381 O
0.463 0.750 0.864 O
0.537 0.250 0.136 O
0.577 0.250 0.619 O
0.712 0.250 0.922 O
0.777 0.750 0.560 O
0.827 0.578 0.319 O
0.827 0.922 0.319 O
0.962 0.250 0.115 O